Density functional theory data (PBE-GGA) for an optimized crystal structure of Ca3TbPm3S8.

a b c (Å): 8.0366 8.0366 19.8222
angles (deg): 90.00 90.00 120.00
Closest atoms and distances in Å follow each position.
Space group R-3m (No. 166, hexagonal axes)
One atom of each set of equivalent atoms:
Ca: 0.0000 0.5000 0.0000 (multiplicity 9)  6 S 2.84-2.85
Tb: 0.0000 0.0000 0.5000 (multiplicity 3)  6 S 2.77
Pm: 0.0000 0.5000 0.5000 (multiplicity 9)  6 S 2.84-2.86
S: 0.0000 0.0000 0.2510 (multiplicity 6)  3 Ca 2.84, 3 Pm 2.86
S: 0.0089 0.5045 0.2474 (multiplicity 18)  1 Tb 2.77, 2 Pm 2.84, 2 Ca 2.85



Density functional theory data (PBE-GGA) for an optimized crystal structure of CaTb2PmS4.

a b c (Å): 6.8848 3.9553 6.9035
angles (deg): 90.00 109.12 90.00
Closest atoms and distances in Å follow each position.
Space group P2/m (No. 10)
One atom of each set of equivalent atoms:
Ca: 0.0000 0.0000 0.0000 (multiplicity 1)  6 S 2.81-2.82
Tb: 0.5000 0.0000 0.5000 (multiplicity 1)  6 S 2.80-2.81
Tb: 0.5000 0.5000 0.0000 (multiplicity 1)  6 S 2.77-2.78
Pm: 0.0000 0.5000 0.5000 (multiplicity 1)  6 S 2.84-2.85
S: 0.2553 0.5000 0.2488 (multiplicity 2)  3 Tb 2.77-2.80, 2 Ca 2.82, 1 Pm 2.84
S: 0.2566 0.0000 0.7563 (multiplicity 2)  3 Tb 2.78-2.81, 1 Ca 2.81, 2 Pm 2.85



Looking at energy relative to the elements, uncorrected for the records above, in order, we have -2.08 -2.04 eV/atom.
Looking at VASP energy for the records above, in order, we have -0.43684 -0.44856 Ry per atom.